Computed, not measured: Pr5Nd4Dy3 after structural relaxation at the GGA-PBE level of DFT.

a b c (Å): 6.106 8.721 9.897
angles (deg): 60.69 72.03 69.51
Each line ends with the local moment (μB).
Positions (direct):
Pr 0.671 0.543 0.114  0.01
Pr 0.500 0.500 0.500  0.15
Pr 0.208 0.310 0.274  0.01
Pr 0.792 0.690 0.726  0.01
Pr 0.329 0.457 0.886  0.01
Nd 0.919 0.222 0.941  0.01
Nd 0.207 0.962 0.623  0.00
Nd 0.793 0.038 0.377  0.00
Nd 0.081 0.778 0.059  0.01
Dy 0.572 0.052 0.804  0.01
Dy 0.000 0.500 0.500  0.19
Dy 0.428 0.948 0.196  0.01

Properties
DFT total energy	-4.516	eV/atom
total magnetization	0.54	μB per cell

=====

Computed, not measured: Pr12NdDy7 after structural relaxation at the GGA-PBE level of DFT.

a b c (Å): 6.290 11.598 11.598
angles (deg): 116.81 100.42 100.42
Positions (direct):
Pr 0.088 0.588 0.177
Pr 0.088 0.177 0.589
Pr 0.579 0.647 0.001
Pr 0.422 0.001 0.355
Pr 0.499 0.411 0.588
Pr 0.068 0.645 0.647
Pr 0.932 0.355 0.353
Pr 0.501 0.589 0.412
Pr 0.578 0.999 0.645
Pr 0.421 0.353 0.999
Pr 0.912 0.823 0.411
Pr 0.912 0.412 0.823
Nd 0.000 0.000 0.000
Dy 0.125 0.755 0.002
Dy 0.877 0.002 0.247
Dy 0.630 0.753 0.755
Dy 0.500 0.000 0.000
Dy 0.370 0.247 0.245
Dy 0.123 0.998 0.753
Dy 0.875 0.245 0.998

Properties
DFT total energy	-4.481	eV/atom
total magnetization	0.00	μB per cell
offset from the most stable computed form	92	meV per atom

=====

Computed, not measured: Pr2Nd3Dy4 after structural relaxation at the GGA-PBE level of DFT.

a b c (Å): 6.284 8.110 6.276
angles (deg): 104.92 80.49 97.53
Positions (direct):
Pr 0.667 0.333 0.332
Pr 0.333 0.667 0.668
Nd 0.890 0.778 0.442
Nd 0.110 0.222 0.558
Nd 0.000 0.000 0.000
Dy 0.775 0.554 0.891
Dy 0.225 0.446 0.109
Dy 0.447 0.888 0.222
Dy 0.553 0.112 0.778

Properties
DFT total energy	-4.679	eV/atom
total magnetization	0.00	μB per cell
offset from the most stable computed form	0	meV per atom

=====

Computed, not measured: Pr4Nd15Dy after structural relaxation at the GGA-PBE level of DFT.

a b c (Å): 5.211 5.211 26.002
angles (deg): 90.00 90.00 90.00
Positions (direct):
Pr 0.000 0.000 0.199
Pr 0.000 0.000 0.400
Pr 0.000 0.000 0.600
Pr 0.000 0.000 0.801
Nd 0.500 0.500 0.000
Nd 0.500 0.500 0.198
Nd 0.500 0.500 0.400
Nd 0.500 0.500 0.600
Nd 0.500 0.500 0.802
Nd 0.500 0.000 0.098
Nd 0.500 0.000 0.299
Nd 0.500 0.000 0.500
Nd 0.500 0.000 0.701
Nd 0.500 0.000 0.902
Nd 0.000 0.500 0.098
Nd 0.000 0.500 0.299
Nd 0.000 0.500 0.500
Nd 0.000 0.500 0.701
Nd 0.000 0.500 0.902
Dy 0.000 0.000 0.000

Properties
DFT total energy	-4.748	eV/atom
total magnetization	0.00	μB per cell

=====

Computed, not measured: Pr2Nd3Dy6Pu after structural relaxation at the GGA-PBE level of DFT.

a b c (Å): 6.243 6.243 11.804
angles (deg): 95.07 95.07 120.04
Each line ends with the local moment (μB).
Positions (direct):
Pr 0.333 0.667 0.000  0.02
Pr 0.667 0.333 0.000  0.02
Nd 0.167 0.833 0.500  -0.01
Nd 0.833 0.167 0.500  -0.01
Nd 0.500 0.500 0.500  -0.01
Dy 0.918 0.589 0.752  0.04
Dy 0.754 0.754 0.248  0.04
Dy 0.082 0.411 0.248  0.04
Dy 0.589 0.918 0.752  0.04
Dy 0.246 0.246 0.752  0.04
Dy 0.411 0.082 0.248  0.04
Pu 0.000 0.000 0.000  5.57

Properties
DFT total energy	-5.439	eV/atom
total magnetization	6.42	μB per cell

=====

Computed, not measured: Pr3Nd4DyS8 after structural relaxation at the GGA-PBE level of DFT.

a b c (Å): 8.135 8.125 8.135
angles (deg): 120.03 120.00 90.00
Positions (direct):
Pr 0.500 0.500 0.000
Pr 0.500 0.500 0.500
Pr 0.000 0.500 0.500
Nd 0.500 0.000 0.000
Nd 0.500 0.000 0.500
Nd 0.000 0.000 0.000
Nd 0.000 0.000 0.500
Dy 0.000 0.500 0.000
S 0.244 0.746 0.002
S 0.244 0.746 0.488
S 0.249 0.247 0.498
S 0.758 0.746 0.002
S 0.242 0.254 0.998
S 0.751 0.753 0.502
S 0.756 0.254 0.512
S 0.756 0.254 0.998

Properties
DFT total energy	-6.451	eV/atom
total magnetization	0.00	μB per cell
raw formation energy	-3105	kJ/mol of formula units

=====

no.,DOS(E_F) (states/eV/atom)
1,1.625
2,1.421
3,1.500
4,1.485
5,1.940
6,0.547